Below is a relaxed structure of NaEuZnGe, with properties calculated at the PBE level.

Properties
Spin magnetization: 1.70 μB per atom
Formation energy: -231 meV/atom
D(E_F): 1.9886 states/eV/atom
Uncorrected energy: -18.41 eV per formula unit

a b c (Å): 7.2195 7.2195 7.2195
angles (deg): 90.00 90.00 90.00
Space group F-43m (No. 216)
Symmetry-distinct sites (fractional):
Na (0.0000, 0.0000, 0.0000) (multiplicity 4)
Eu (0.0000, 0.0000, 0.5000) (multiplicity 4)
Zn (0.2500, 0.2500, 0.2500) (multiplicity 4)
Ge (0.2500, 0.2500, 0.7500) (multiplicity 4)

=====

Below is a relaxed structure of Ce3Pr2DyAs6, with properties calculated at the PBE level.

Properties
Spin magnetization: 0.16 μB per atom
Formation energy: -1469 meV/atom
D(E_F): 1.4223 states/eV/atom
Uncorrected energy: -77.48 eV per formula unit

a b c (Å): 7.3295 12.6957 7.3269
angles (deg): 90.00 109.50 90.00
Space group C2/m (No. 12)
Symmetry-distinct sites (fractional):
Ce (0.0000, 0.0000, 0.0000) (multiplicity 2)
Ce (0.0000, 0.3319, 0.0000) (multiplicity 4)
Pr (0.0000, 0.1661, 0.5000) (multiplicity 4)
Dy (0.0000, 0.5000, 0.5000) (multiplicity 2)
As (0.2416, 0.5000, 0.2448) (multiplicity 4)
As (0.2479, 0.3365, 0.7536) (multiplicity 8)

=====

Below is a relaxed structure of SrCa2RuN4, with properties calculated at the PBE level.

Properties
Spin magnetization: 0.25 μB per atom
D(E_F): 0.1667 states/eV/atom
Formation energy from raw total energies: -0.482 eV per atom
Uncorrected energy: -52.12 eV per formula unit

a b c (Å): 7.8266 6.5444 5.5341
angles (deg): 90.00 90.00 90.00
Space group Pmn2_1 (No. 31)
Symmetry-distinct sites (fractional):
Sr (0.0000, 0.1451, 0.0000) (multiplicity 2)
Ca (0.2442, 0.3291, 0.5097) (multiplicity 4)
Ru (0.0000, 0.8164, 0.5376) (multiplicity 2)
N (0.0000, 0.1040, 0.4868) (multiplicity 2)
N (0.0000, 0.7897, 0.8756) (multiplicity 2)
N (0.2030, 0.6859, 0.4428) (multiplicity 4)

=====

Below is a relaxed structure of ScIn2Ag2, with properties calculated at the PBE level.

Properties
Spin magnetization: 0.18 μB per atom
Formation energy: -28 meV/atom
Energy relative to the lowest polymorph listed for this composition: 0.588 eV per formula unit
D(E_F): 0.5392 states/eV/atom
Uncorrected energy: -17.65 eV per formula unit

a b c (Å): 8.1820 8.1820 3.2523
angles (deg): 90.00 90.00 90.00
Space group P4/mbm (No. 127)
Symmetry-distinct sites (fractional):
Sc (0.0000, 0.0000, 0.0000) (multiplicity 2)
In (0.1364, 0.3636, 0.0000) (multiplicity 4)
Ag (0.1635, 0.6635, 0.5000) (multiplicity 4)

=====

Below is a relaxed structure of TcNi2S, with properties calculated at the PBE level.

Properties
Spin magnetization: 0.00 μB per atom
D(E_F): 0.9216 states/eV/atom
Formation energy from raw total energies: -0.095 eV per atom
Uncorrected energy: -26.44 eV per formula unit

a b c (Å): 8.8327 3.9978 5.7199
angles (deg): 90.00 104.26 90.00
Space group C2/m (No. 12)
Symmetry-distinct sites (fractional):
Tc (0.1337, 0.0000, 0.4515) (multiplicity 4)
Ni (0.0707, 0.5000, 0.7135) (multiplicity 4)
Ni (0.1488, 0.0000, 0.9877) (multiplicity 4)
S (0.1615, 0.5000, 0.2084) (multiplicity 4)

=====

Below is a relaxed structure of TiH2Rh, with properties calculated at the PBE level.

Properties
Spin magnetization: 0.00 μB per atom
Energy relative to the lowest polymorph listed for this composition: 1.553 eV per formula unit
D(E_F): 1.2224 states/eV/atom
Uncorrected energy: -21.69 eV per formula unit

a b c (Å): 5.2599 5.2599 5.2599
angles (deg): 90.00 90.00 90.00
Space group Fm-3m (No. 225)
Symmetry-distinct sites (fractional):
Ti (0.0000, 0.0000, 0.0000) (multiplicity 4)
H (0.2500, 0.2500, 0.2500) (multiplicity 8)
Rh (0.0000, 0.0000, 0.5000) (multiplicity 4)

=====

Below is a relaxed structure of ZrBe, with properties calculated at the PBE level.

Properties
Spin magnetization: 0.00 μB per atom
Formation energy: 202 meV/atom
D(E_F): 0.7876 states/eV/atom
Uncorrected energy: -11.87 eV per formula unit

a b c (Å): 5.0928 5.0928 5.0928
angles (deg): 90.00 90.00 90.00
Space group P2_13 (No. 198)
Symmetry-distinct sites (fractional):
Zr (0.0733, 0.0733, 0.0733) (multiplicity 4)
Be (0.0849, 0.5849, 0.9151) (multiplicity 4)

=====

Below is a relaxed structure of NbHPt2, with properties calculated at the PBE level.

Properties
Spin magnetization: 0.00 μB per atom
Energy relative to the lowest polymorph listed for this composition: 0.000 eV per formula unit
D(E_F): 0.0784 states/eV/atom
Uncorrected energy: -26.09 eV per formula unit

a b c (Å): 6.5772 6.5772 4.9810
angles (deg): 90.00 90.00 90.00
Space group I-42d (No. 122)
Symmetry-distinct sites (fractional):
Nb (0.0000, 0.0000, 0.0000) (multiplicity 4)
H (0.0000, 0.0000, 0.5000) (multiplicity 4)
Pt (0.1504, 0.2500, 0.6250) (multiplicity 8)

=====

Below is a relaxed structure of InCF2, with properties calculated at the PBE level.

Properties
Spin magnetization: 0.30 μB per atom
Energy relative to the lowest polymorph listed for this composition: 1.410 eV per formula unit
D(E_F): 0.8313 states/eV/atom
Formation energy from raw total energies: 0.343 eV per atom
Uncorrected energy: -14.33 eV per formula unit

a b c (Å): 5.8505 5.8505 5.8505
angles (deg): 90.00 90.00 90.00
Space group Fm-3m (No. 225)
Symmetry-distinct sites (fractional):
In (0.0000, 0.0000, 0.0000) (multiplicity 4)
C (0.0000, 0.0000, 0.5000) (multiplicity 4)
F (0.2500, 0.2500, 0.2500) (multiplicity 8)

=====

Below is a relaxed structure of Na2AlGe, with properties calculated at the PBE level.

Properties
Spin magnetization: 0.00 μB per atom
Formation energy: -42 meV/atom
Energy relative to the lowest polymorph listed for this composition: 0.000 eV per formula unit
D(E_F): 0.2297 states/eV/atom
Uncorrected energy: -11.17 eV per formula unit

a b c (Å): 11.5691 4.4935 8.5925
angles (deg): 90.00 120.95 90.00
Space group C2/m (No. 12)
Symmetry-distinct sites (fractional):
Na (0.0000, 0.0000, 0.0000) (multiplicity 2)
Na (0.0000, 0.0000, 0.5000) (multiplicity 2)
Na (0.1165, 0.5000, 0.3375) (multiplicity 4)
Al (0.2070, 0.5000, 0.0607) (multiplicity 4)
Ge (0.1972, 0.5000, 0.7487) (multiplicity 4)

=====

Below is a relaxed structure of TbDy2Er5Mg, with properties calculated at the PBE level.

Properties
Spin magnetization: 0.00 μB per atom
Formation energy: 107 meV/atom
D(E_F): 1.3776 states/eV/atom
Uncorrected energy: -37.28 eV per formula unit

a b c (Å): 5.3694 19.9436 10.3757
angles (deg): 90.00 90.00 90.00
Space group Cmc2_1 (No. 36)
Symmetry-distinct sites (fractional):
Tb (0.0000, 0.2062, 0.0000) (multiplicity 4)
Dy (0.0000, 0.1148, 0.2876) (multiplicity 4)
Dy (0.0000, 0.1149, 0.7125) (multiplicity 4)
Er (0.0000, 0.0134, 0.0000) (multiplicity 4)
Er (0.0000, 0.2894, 0.2992) (multiplicity 4)
Er (0.0000, 0.2899, 0.7006) (multiplicity 4)
Er (0.0000, 0.3834, 0.0001) (multiplicity 4)
Er (0.0000, 0.5003, 0.2495) (multiplicity 4)
Mg (0.0000, 0.4050, 0.4987) (multiplicity 4)

=====

Below is a relaxed structure of Nd2ThTe, with properties calculated at the PBE level.

Properties
Spin magnetization: 0.00 μB per atom
Energy relative to the lowest polymorph listed for this composition: 0.000 eV per formula unit
D(E_F): 0.6298 states/eV/atom
Formation energy from raw total energies: -0.587 eV per atom
Uncorrected energy: -22.45 eV per formula unit

a b c (Å): 3.8980 3.8980 8.3512
angles (deg): 90.00 90.00 90.00
Space group P4/mmm (No. 123)
Symmetry-distinct sites (fractional):
Nd (0.0000, 0.0000, 0.2248) (multiplicity 2)
Th (0.5000, 0.5000, 0.5000) (multiplicity 1)
Te (0.5000, 0.5000, 0.0000) (multiplicity 1)

=====

Below is a relaxed structure of Tb2Zn6Ag9, with properties calculated at the PBE level.

Properties
Spin magnetization: 0.00 μB per atom
Formation energy: -48 meV/atom
D(E_F): 0.3801 states/eV/atom
Uncorrected energy: -43.39 eV per formula unit

a b c (Å): 5.5743 5.5743 13.1098
angles (deg): 90.00 90.00 120.00
Space group P6/mmm (No. 191)
Symmetry-distinct sites (fractional):
Tb (0.0000, 0.0000, 0.1660) (multiplicity 2)
Zn (0.3333, 0.6667, 0.1658) (multiplicity 4)
Zn (0.3333, 0.6667, 0.5000) (multiplicity 2)
Ag (0.0000, 0.5000, 0.0000) (multiplicity 3)
Ag (0.0000, 0.5000, 0.3324) (multiplicity 6)

=====

Below is a relaxed structure of ZnNiPd3, with properties calculated at the PBE level.

Properties
Spin magnetization: 0.16 μB per atom
Formation energy: -214 meV/atom
Energy relative to the lowest polymorph listed for this composition: 0.056 eV per formula unit
D(E_F): 1.1699 states/eV/atom
Uncorrected energy: -23.71 eV per formula unit

a b c (Å): 4.5634 14.1123 5.6243
angles (deg): 90.00 128.04 90.00
Space group C2/c (No. 15)
Symmetry-distinct sites (fractional):
Zn (0.0000, 0.0984, 0.2500) (multiplicity 4)
Ni (0.0000, 0.1003, 0.7500) (multiplicity 4)
Pd (0.0000, 0.3040, 0.7500) (multiplicity 4)
Pd (0.0000, 0.3070, 0.2500) (multiplicity 4)
Pd (0.0000, 0.4987, 0.7500) (multiplicity 4)

=====

Below is a relaxed structure of PrErTl2, with properties calculated at the PBE level.

Properties
Spin magnetization: 0.00 μB per atom
Formation energy: -340 meV/atom
Energy relative to the lowest polymorph listed for this composition: 0.090 eV per formula unit
D(E_F): 0.9091 states/eV/atom
Uncorrected energy: -15.44 eV per formula unit

a b c (Å): 5.1164 5.1164 4.3650
angles (deg): 90.00 90.00 90.00
Space group P4/mmm (No. 123)
Symmetry-distinct sites (fractional):
Pr (0.0000, 0.0000, 0.0000) (multiplicity 1)
Er (0.5000, 0.5000, 0.0000) (multiplicity 1)
Tl (0.0000, 0.5000, 0.5000) (multiplicity 2)

=====

Below is a relaxed structure of Rb2BN, with properties calculated at the PBE level.

Properties
Spin magnetization: 0.00 μB per atom
Energy relative to the lowest polymorph listed for this composition: 6.201 eV per formula unit
D(E_F): 0.3781 states/eV/atom
Formation energy from raw total energies: 1.802 eV per atom
Uncorrected energy: -9.73 eV per formula unit

a b c (Å): 7.3014 7.3014 7.3014
angles (deg): 90.00 90.00 90.00
Space group Fm-3m (No. 225)
Symmetry-distinct sites (fractional):
Rb (0.2500, 0.2500, 0.2500) (multiplicity 8)
B (0.0000, 0.0000, 0.0000) (multiplicity 4)
N (0.0000, 0.0000, 0.5000) (multiplicity 4)

=====

Below is a relaxed structure of Dy2TeSe2, with properties calculated at the PBE level.

Properties
Spin magnetization: 0.00 μB per atom
Energy relative to the lowest polymorph listed for this composition: 1.687 eV per formula unit
D(E_F): 0.3151 states/eV/atom
Formation energy from raw total energies: -1.386 eV per atom
Uncorrected energy: -26.24 eV per formula unit

a b c (Å): 5.4209 7.7801 8.2041
angles (deg): 83.47 70.72 69.68
Space group P-1 (No. 2)
Symmetry-distinct sites (fractional):
Dy (0.0073, 0.4858, 0.2498) (multiplicity 2)
Dy (0.2423, 0.0142, 0.2496) (multiplicity 2)
Te (0.3750, 0.7500, 0.7507) (multiplicity 2)
Se (0.0289, 0.7501, 0.4423) (multiplicity 2)
Se (0.2789, 0.2500, 0.9416) (multiplicity 2)

=====

Below is a relaxed structure of Pm5Ho2Th4, with properties calculated at the PBE level.

Properties
Spin magnetization: 0.00 μB per atom
Formation energy: 184 meV/atom
D(E_F): 1.2285 states/eV/atom
Uncorrected energy: -60.56 eV per formula unit

a b c (Å): 6.7266 6.9276 9.5426
angles (deg): 69.51 76.25 63.17
Space group P-1 (No. 2)
Symmetry-distinct sites (fractional):
Pm (0.0000, 0.0000, 0.0000) (multiplicity 1)
Pm (0.1084, 0.0335, 0.6253) (multiplicity 2)
Pm (0.4203, 0.4278, 0.3580) (multiplicity 2)
Ho (0.4337, 0.9550, 0.2605) (multiplicity 2)
Th (0.0619, 0.5155, 0.6876) (multiplicity 2)
Th (0.2837, 0.4322, 0.9809) (multiplicity 2)

=====

Below is a relaxed structure of CaNbPt3, with properties calculated at the PBE level.

Properties
Spin magnetization: 0.00 μB per atom
Formation energy: 26 meV/atom
Energy relative to the lowest polymorph listed for this composition: 0.000 eV per formula unit
D(E_F): 0.6946 states/eV/atom
Uncorrected energy: -30.06 eV per formula unit

a b c (Å): 4.9372 4.9372 4.9372
angles (deg): 90.00 90.00 90.00
Space group Pm-3m (No. 221)
Symmetry-distinct sites (fractional):
Ca (0.0000, 0.0000, 0.0000) (multiplicity 1)
Nb (0.5000, 0.5000, 0.5000) (multiplicity 1)
Pt (0.0000, 0.5000, 0.5000) (multiplicity 3)

=====

Below is a relaxed structure of KLi2NpI6, with properties calculated at the PBE level.

Properties
Spin magnetization: 0.40 μB per atom
D(E_F): 0.4297 states/eV/atom
Formation energy from raw total energies: -1.089 eV per atom
Uncorrected energy: -38.06 eV per formula unit

a b c (Å): 7.9164 7.9164 21.8144
angles (deg): 90.00 90.00 120.00
Space group R3 (No. 146, hexagonal axes)
Symmetry-distinct sites (fractional):
K (0.0000, 0.0000, 0.0000) (multiplicity 3)
Li (0.0000, 0.0000, 0.2974) (multiplicity 3)
Li (0.0000, 0.0000, 0.8008) (multiplicity 3)
Np (0.0000, 0.0000, 0.4844) (multiplicity 3)
I (0.0064, 0.5986, 0.0570) (multiplicity 9)
I (0.0155, 0.3368, 0.8866) (multiplicity 9)